10
Lattice="5.638 0.000 0.000 0.000 5.638 0.000 0.000 0.000 5.000" Properties=species:S:1:pos:R:3 comment="BPt2Au2 (PBE, relaxed)" magmom_total_mub_per_fu=0.00 e_form_ev_per_atom=-0.053 pbc="T T T"
B 0.000 0.000 0.000
B 2.819 2.819 0.000
Au 0.983 3.802 2.500
Au 3.802 4.655 2.500
Au 4.655 1.836 2.500
Au 1.836 0.983 2.500
Pt 1.876 4.695 0.000
Pt 4.695 3.762 0.000
Pt 3.762 0.943 0.000
Pt 0.943 1.876 0.000